Record 1
# YBeCuSe2, PBEsol geometry, DFT meta-GGA SCAN
# density = 5555 kg/m³
# raw total energy = -17.4226 eV per atom
# total magnetization = 0.00 Bohr magnetons per cell
# volume = 19.09 A^3/atom
# formation energy from raw total energies = 2.0 kcal/mol of atoms
data_YBeCuSe2
_chemical_formula_sum 'Y1 Be1 Cu1 Se2'
_cell_length_a 4.402
_cell_length_b 4.402
_cell_length_c 4.927
_cell_angle_alpha 90.00
_cell_angle_beta 90.00
_cell_angle_gamma 90.00
_symmetry_space_group_name_H-M 'P 4/m m m'
_symmetry_Int_Tables_number 123
_symmetry_space_group_name_Hall '-P 4 2'
loop_
_atom_site_label
_atom_site_fract_x
_atom_site_fract_y
_atom_site_fract_z
_atom_site_occupancy
Y1 0.000 0.000 0.000 1
Be1 0.000 0.000 0.500 1
Cu1 0.500 0.500 0.000 1
Se1 0.000 0.500 0.500 1



Record 2
# BeCuSi4, PBEsol geometry, DFT meta-GGA SCAN
# density = 3711 kg/m³
# raw total energy = -9.1608 eV per atom
# total magnetization = 0.00 Bohr magnetons per cell
# volume = 13.79 A^3/atom
# formation energy from raw total energies = 17.9 kcal/mol of atoms
data_BeCuSi4
_chemical_formula_sum 'Be4 Cu4 Si16'
_cell_length_a 6.917
_cell_length_b 6.917
_cell_length_c 6.917
_cell_angle_alpha 90.00
_cell_angle_beta 90.00
_cell_angle_gamma 90.00
_symmetry_space_group_name_H-M 'F -4 3 m'
_symmetry_Int_Tables_number 216
_symmetry_space_group_name_Hall 'F -4 2 3'
loop_
_atom_site_label
_atom_site_fract_x
_atom_site_fract_y
_atom_site_fract_z
_atom_site_occupancy
Be1 0.000 0.000 0.000 1
Cu1 0.250 0.250 0.250 1
Si1 0.125 0.125 0.625 1



Record 3
# BeCu2SiTc, PBEsol geometry, DFT meta-GGA SCAN
# density = 7040 kg/m³
# raw total energy = -15.5069 eV per atom
# total magnetization = 0.89 Bohr magnetons per cell
# volume = 12.37 A^3/atom
# formation energy from raw total energies = 10.6 kcal/mol of atoms
data_BeCu2SiTc
_chemical_formula_sum 'Be1 Cu2 Si1 Tc1'
_cell_length_a 3.862
_cell_length_b 3.862
_cell_length_c 4.146
_cell_angle_alpha 90.00
_cell_angle_beta 90.00
_cell_angle_gamma 90.00
_symmetry_space_group_name_H-M 'P 4/m m m'
_symmetry_Int_Tables_number 123
_symmetry_space_group_name_Hall '-P 4 2'
loop_
_atom_site_label
_atom_site_fract_x
_atom_site_fract_y
_atom_site_fract_z
_atom_site_occupancy
Be1 0.000 0.000 0.000 1
Cu1 0.000 0.500 0.000 1
Si1 0.500 0.500 0.500 1
Tc1 0.000 0.000 0.500 1



Record 4
# BeCuSn3, PBEsol geometry, DFT meta-GGA SCAN
# density = 6439 kg/m³
# raw total energy = -24.7711 eV per atom
# total magnetization = 0.00 Bohr magnetons per cell
# volume = 22.11 A^3/atom
data_BeCuSn3
_chemical_formula_sum 'Be1 Cu1 Sn3'
_cell_length_a 4.799
_cell_length_b 4.799
_cell_length_c 4.799
_cell_angle_alpha 90.00
_cell_angle_beta 90.00
_cell_angle_gamma 90.00
_symmetry_space_group_name_H-M 'P m -3 m'
_symmetry_Int_Tables_number 221
_symmetry_space_group_name_Hall '-P 4 2 3'
loop_
_atom_site_label
_atom_site_fract_x
_atom_site_fract_y
_atom_site_fract_z
_atom_site_occupancy
Be1 0.000 0.000 0.000 1
Cu1 0.500 0.500 0.500 1
Sn1 0.000 0.000 0.500 1



Record 5
# TiBe2CuSn, PBEsol geometry, DFT meta-GGA SCAN
# density = 5232 kg/m³
# raw total energy = -14.6705 eV per atom
# total magnetization = 0.49 Bohr magnetons per cell
# volume = 15.75 A^3/atom
data_TiBe2CuSn
_chemical_formula_sum 'Ti1 Be2 Cu1 Sn1'
_cell_length_a 4.049
_cell_length_b 4.049
_cell_length_c 4.803
_cell_angle_alpha 90.00
_cell_angle_beta 90.00
_cell_angle_gamma 90.00
_symmetry_space_group_name_H-M 'P 4/m m m'
_symmetry_Int_Tables_number 123
_symmetry_space_group_name_Hall '-P 4 2'
loop_
_atom_site_label
_atom_site_fract_x
_atom_site_fract_y
_atom_site_fract_z
_atom_site_occupancy
Ti1 0.000 0.000 0.000 1
Be1 0.000 0.500 0.500 1
Cu1 0.500 0.500 0.500 1
Sn1 0.500 0.500 0.000 1



Record 6
# TaBeCu3, PBEsol geometry, DFT meta-GGA SCAN
# density = 10237 kg/m³
# raw total energy = -22.8983 eV per atom
# total magnetization = 0.00 Bohr magnetons per cell
# volume = 12.35 A^3/atom
data_TaBeCu3
_chemical_formula_sum 'Ta1 Be1 Cu3'
_cell_length_a 3.952
_cell_length_b 3.952
_cell_length_c 3.952
_cell_angle_alpha 90.00
_cell_angle_beta 90.00
_cell_angle_gamma 90.00
_symmetry_space_group_name_H-M 'P m -3 m'
_symmetry_Int_Tables_number 221
_symmetry_space_group_name_Hall '-P 4 2 3'
loop_
_atom_site_label
_atom_site_fract_x
_atom_site_fract_y
_atom_site_fract_z
_atom_site_occupancy
Ta1 0.000 0.000 0.000 1
Be1 0.500 0.500 0.500 1
Cu1 0.000 0.500 0.500 1



Record 7
# Ta2Be2Cu, PBEsol geometry, DFT meta-GGA SCAN
# density = 11828 kg/m³
# raw total energy = -31.5435 eV per atom
# total magnetization = 0.00 Bohr magnetons per cell
# volume = 12.45 A^3/atom
data_Ta2Be2Cu
_chemical_formula_sum 'Ta4 Be4 Cu2'
_cell_length_a 5.875
_cell_length_b 5.875
_cell_length_c 3.607
_cell_angle_alpha 90.00
_cell_angle_beta 90.00
_cell_angle_gamma 90.00
_symmetry_space_group_name_H-M 'P 4/m b m'
_symmetry_Int_Tables_number 127
_symmetry_space_group_name_Hall '-P 4 2ab'
loop_
_atom_site_label
_atom_site_fract_x
_atom_site_fract_y
_atom_site_fract_z
_atom_site_occupancy
Ta1 0.170 0.330 0.000 1
Be1 0.128 0.628 0.500 1
Cu1 0.000 0.000 0.500 1



Record 8
# TaBe2Cu, PBEsol geometry, DFT meta-GGA SCAN
# density = 9702 kg/m³
# raw total energy = -22.6364 eV per atom
# total magnetization = 0.00 Bohr magnetons per cell
# volume = 11.23 A^3/atom
data_TaBe2Cu
_chemical_formula_sum 'Ta3 Be6 Cu3'
_cell_length_a 3.6035
_cell_length_b 3.6035
_cell_length_c 11.9865
_cell_angle_alpha 90.00
_cell_angle_beta 90.00
_cell_angle_gamma 120.00
_symmetry_space_group_name_H-M 'R -3 m'
_symmetry_Int_Tables_number 166
_symmetry_space_group_name_Hall '-R 3 2"'
loop_
_atom_site_label
_atom_site_fract_x
_atom_site_fract_y
_atom_site_fract_z
_atom_site_occupancy
Ta1 0.0000 0.0000 0.0000 1
Be1 0.0000 0.0000 0.2114 1
Cu1 0.0000 0.0000 0.5000 1



Record 9
# TaBe2Cu, PBEsol geometry, DFT meta-GGA SCAN
# density = 9346 kg/m³
# raw total energy = -22.5615 eV per atom
# total magnetization = 0.00 Bohr magnetons per cell
# volume = 11.66 A^3/atom
data_TaBe2Cu
_chemical_formula_sum 'Ta1 Be2 Cu1'
_cell_length_a 3.843
_cell_length_b 3.843
_cell_length_c 3.158
_cell_angle_alpha 90.00
_cell_angle_beta 90.00
_cell_angle_gamma 90.00
_symmetry_space_group_name_H-M 'P 4/m m m'
_symmetry_Int_Tables_number 123
_symmetry_space_group_name_Hall '-P 4 2'
loop_
_atom_site_label
_atom_site_fract_x
_atom_site_fract_y
_atom_site_fract_z
_atom_site_occupancy
Ta1 0.000 0.000 0.000 1
Be1 0.000 0.500 0.500 1
Cu1 0.500 0.500 0.000 1



Record 10
# Ta6Be15Cu8, PBEsol geometry, DFT meta-GGA SCAN
# density = 9333 kg/m³
# raw total energy = -20.4677 eV per atom
# total magnetization = 0.00 Bohr magnetons per cell
# volume = 10.61 A^3/atom
data_Ta6Be15Cu8
_chemical_formula_sum 'Ta24 Be60 Cu32'
_cell_length_a 10.716
_cell_length_b 10.716
_cell_length_c 10.716
_cell_angle_alpha 90.00
_cell_angle_beta 90.00
_cell_angle_gamma 90.00
_symmetry_space_group_name_H-M 'F m -3 m'
_symmetry_Int_Tables_number 225
_symmetry_space_group_name_Hall '-F 4 2 3'
loop_
_atom_site_label
_atom_site_fract_x
_atom_site_fract_y
_atom_site_fract_z
_atom_site_occupancy
Ta1 0.000 0.000 0.193 1
Be1 0.000 0.000 0.500 1
Be2 0.000 0.250 0.250 1
Be3 0.173 0.173 0.173 1
Cu1 0.123 0.123 0.377 1



Record 11
# TbBeCu4, PBEsol geometry, DFT meta-GGA SCAN
# density = 8521 kg/m³
# raw total energy = -18.8585 eV per atom
# total magnetization = 0.00 Bohr magnetons per cell
# volume = 13.71 A^3/atom
data_TbBeCu4
_chemical_formula_sum 'Tb1 Be1 Cu4'
_cell_length_a 5.0000
_cell_length_b 5.0000
_cell_length_c 3.7992
_cell_angle_alpha 90.00
_cell_angle_beta 90.00
_cell_angle_gamma 120.00
_symmetry_space_group_name_H-M 'P -6 m 2'
_symmetry_Int_Tables_number 187
_symmetry_space_group_name_Hall 'P -6 2'
loop_
_atom_site_label
_atom_site_fract_x
_atom_site_fract_y
_atom_site_fract_z
_atom_site_occupancy
Tb1 0.0000 0.0000 0.0000 1
Be1 0.6667 0.3333 0.0000 1
Cu1 0.3333 0.6667 0.0000 1
Cu2 0.5042 0.0084 0.5000 1



Record 12
# BeCu2Te, PBEsol geometry, DFT meta-GGA SCAN
# density = 7623 kg/m³
# raw total energy = -17.6304 eV per atom
# total magnetization = 0.00 Bohr magnetons per cell
# volume = 14.36 A^3/atom
# formation energy from raw total energies = 8.5 kcal/mol of atoms
data_BeCu2Te
_chemical_formula_sum 'Be1 Cu2 Te1'
_cell_length_a 3.674
_cell_length_b 3.674
_cell_length_c 4.256
_cell_angle_alpha 90.00
_cell_angle_beta 90.00
_cell_angle_gamma 90.00
_symmetry_space_group_name_H-M 'P 4/m m m'
_symmetry_Int_Tables_number 123
_symmetry_space_group_name_Hall '-P 4 2'
loop_
_atom_site_label
_atom_site_fract_x
_atom_site_fract_y
_atom_site_fract_z
_atom_site_occupancy
Be1 0.000 0.000 0.000 1
Cu1 0.000 0.500 0.500 1
Te1 0.500 0.500 0.000 1



Record 13
# BeCu2Te, PBEsol geometry, DFT meta-GGA SCAN
# density = 7539 kg/m³
# raw total energy = -17.6471 eV per atom
# total magnetization = 0.00 Bohr magnetons per cell
# volume = 14.52 A^3/atom
# formation energy from raw total energies = 8.2 kcal/mol of atoms
data_BeCu2Te
_chemical_formula_sum 'Be2 Cu4 Te2'
_cell_length_a 5.028
_cell_length_b 6.106
_cell_length_c 3.784
_cell_angle_alpha 90.00
_cell_angle_beta 90.00
_cell_angle_gamma 90.00
_symmetry_space_group_name_H-M 'C m m m'
_symmetry_Int_Tables_number 65
_symmetry_space_group_name_Hall '-C 2 2'
loop_
_atom_site_label
_atom_site_fract_x
_atom_site_fract_y
_atom_site_fract_z
_atom_site_occupancy
Be1 0.000 0.000 0.000 1
Cu1 0.250 0.250 0.500 1
Te1 0.000 0.500 0.000 1